This record from the Alexandria database describes a geometry-optimized LiMnPO4 structure. The functional is PBE with a Hubbard U.

## Properties
distance to the lowest polymorph of the same formula = 0.0852 eV per atom
space group = Pna2_1 (33)
DFT total energy = -7.097 eV per atom
crystal system = orthorhombic

abc: 8.302 8.763 5.317
angles: 90.00 90.00 90.00
Fractional coordinates of all 28 atoms:
Li (0.051, 0.181, 0.000)
Li (0.449, 0.681, 0.500)
Li (0.551, 0.319, 0.000)
Li (0.949, 0.819, 0.500)
Mn (0.164, 0.544, 0.170)
Mn (0.336, 0.044, 0.670)
Mn (0.664, 0.956, 0.170)
Mn (0.836, 0.456, 0.670)
P (0.245, 0.407, 0.711)
P (0.255, 0.907, 0.211)
P (0.745, 0.093, 0.711)
P (0.755, 0.593, 0.211)
O (0.070, 0.409, 0.839)
O (0.143, 0.925, 0.441)
O (0.235, 0.759, 0.062)
O (0.237, 0.046, 0.031)
O (0.263, 0.546, 0.531)
O (0.265, 0.259, 0.562)
O (0.357, 0.425, 0.941)
O (0.430, 0.909, 0.339)
O (0.570, 0.091, 0.839)
O (0.643, 0.575, 0.441)
O (0.735, 0.741, 0.062)
O (0.737, 0.454, 0.031)
O (0.763, 0.954, 0.531)
O (0.765, 0.241, 0.562)
O (0.857, 0.075, 0.941)
O (0.930, 0.591, 0.339)